No. 1
{
  "formula": "ScBSeBr2",
  "functional": "meta-GGA SCAN",
  "state": "single point on PBEsol structure",
  "lattice_angstrom": [[4.5427, 0.0000, 0.0000], [0.0000, 4.5427, 0.0000], [0.0000, 0.0000, 4.6463]],
  "species": ["Sc", "B", "Se", "Br", "Br"],
  "frac_coords": [[0.0000, 0.0000, 0.0000], [0.5000, 0.5000, 0.5000], [0.5000, 0.5000, 0.0000], [0.0000, 0.5000, 0.5000], [0.5000, 0.0000, 0.5000]],
  "sg": "P4/mmm",
  "crystal_system": "tetragonal",
  "dos_at_fermi_per_ev_cell": 3.50,
  "e_tot_ev_per_cell": -80.219,
  "vol_a3_per_atom": 19.18
}


No. 2
{
  "formula": "B2SeBr",
  "functional": "meta-GGA SCAN",
  "state": "single point on PBEsol structure",
  "lattice_angstrom": [[5.7333, 0.0000, 0.0000], [0.0000, 5.7333, 0.0000], [0.0000, 0.0000, 7.3112]],
  "species": ["B", "B", "B", "B", "B", "B", "B", "B", "Se", "Se", "Se", "Se", "Br", "Br", "Br", "Br"],
  "frac_coords": [[0.2127, 0.2500, 0.1250], [0.2500, 0.7127, 0.3750], [0.2500, 0.7873, 0.8750], [0.2873, 0.2500, 0.6250], [0.7127, 0.7500, 0.6250], [0.7500, 0.2127, 0.8750], [0.7500, 0.2873, 0.3750], [0.7873, 0.7500, 0.1250], [0.0000, 0.0000, 0.0000], [0.0000, 0.5000, 0.2500], [0.5000, 0.0000, 0.7500], [0.5000, 0.5000, 0.5000], [0.0000, 0.0000, 0.5000], [0.0000, 0.5000, 0.7500], [0.5000, 0.0000, 0.2500], [0.5000, 0.5000, 0.0000]],
  "sg": "I-42d",
  "crystal_system": "tetragonal",
  "dos_at_fermi_per_ev_cell": 5.87,
  "e_tot_ev_per_cell": -196.317,
  "vol_a3_per_atom": 15.02
}


No. 3
{
  "formula": "SnBSe2Br",
  "functional": "meta-GGA SCAN",
  "state": "single point on PBEsol structure",
  "lattice_angstrom": [[5.1995, 0.0000, 0.0000], [0.0000, 5.1995, 0.0000], [0.0000, 0.0000, 5.4288]],
  "species": ["Sn", "B", "Se", "Se", "Br"],
  "frac_coords": [[0.0000, 0.0000, 0.0000], [0.5000, 0.5000, 0.5000], [0.0000, 0.5000, 0.0000], [0.5000, 0.0000, 0.0000], [0.0000, 0.0000, 0.5000]],
  "sg": "P4/mmm",
  "crystal_system": "tetragonal",
  "dos_at_fermi_per_ev_cell": 2.40,
  "e_tot_ev_per_cell": -97.693,
  "vol_a3_per_atom": 29.35
}


No. 4
{
  "formula": "TcBSe2Br",
  "functional": "meta-GGA SCAN",
  "state": "single point on PBEsol structure",
  "lattice_angstrom": [[4.3006, 0.0000, 0.0000], [0.0000, 4.3006, 0.0000], [0.0000, 0.0000, 4.3522]],
  "species": ["Tc", "B", "Se", "Se", "Br"],
  "frac_coords": [[0.0000, 0.0000, 0.0000], [0.5000, 0.5000, 0.5000], [0.0000, 0.5000, 0.5000], [0.5000, 0.0000, 0.5000], [0.5000, 0.5000, 0.0000]],
  "sg": "P4/mmm",
  "crystal_system": "tetragonal",
  "dos_at_fermi_per_ev_cell": 2.99,
  "e_tot_ev_per_cell": -95.598,
  "vol_a3_per_atom": 16.10
}


No. 5
{
  "formula": "TiBSeBr2",
  "functional": "meta-GGA SCAN",
  "state": "single point on PBEsol structure",
  "lattice_angstrom": [[4.5405, 0.0000, 0.0000], [0.0000, 4.5405, 0.0000], [0.0000, 0.0000, 4.5357]],
  "species": ["Ti", "B", "Se", "Br", "Br"],
  "frac_coords": [[0.0000, 0.0000, 0.0000], [0.5000, 0.5000, 0.5000], [0.5000, 0.5000, 0.0000], [0.0000, 0.5000, 0.5000], [0.5000, 0.0000, 0.5000]],
  "sg": "P4/mmm",
  "crystal_system": "tetragonal",
  "dos_at_fermi_per_ev_cell": 1.42,
  "e_tot_ev_per_cell": -80.314,
  "vol_a3_per_atom": 18.70
}


No. 6
{
  "formula": "ZrBSe2Br",
  "functional": "meta-GGA SCAN",
  "state": "single point on PBEsol structure",
  "lattice_angstrom": [[4.5204, 0.0000, 0.0000], [0.0000, 4.5204, 0.0000], [0.0000, 0.0000, 4.3723]],
  "species": ["Zr", "B", "Se", "Se", "Br"],
  "frac_coords": [[0.0000, 0.0000, 0.0000], [0.5000, 0.5000, 0.5000], [0.0000, 0.5000, 0.5000], [0.5000, 0.0000, 0.5000], [0.5000, 0.5000, 0.0000]],
  "sg": "P4/mmm",
  "crystal_system": "tetragonal",
  "dos_at_fermi_per_ev_cell": 2.66,
  "e_tot_ev_per_cell": -96.362,
  "vol_a3_per_atom": 17.87
}


No. 7
{
  "formula": "Sn3BBr",
  "functional": "meta-GGA SCAN",
  "state": "single point on PBEsol structure",
  "lattice_angstrom": [[5.4621, 0.0000, 0.0000], [0.0000, 5.4621, 0.0000], [0.0000, 0.0000, 5.4621]],
  "species": ["Sn", "Sn", "Sn", "B", "Br"],
  "frac_coords": [[0.0000, 0.0000, 0.5000], [0.0000, 0.5000, 0.0000], [0.5000, 0.0000, 0.0000], [0.5000, 0.5000, 0.5000], [0.0000, 0.0000, 0.0000]],
  "sg": "Pm-3m",
  "crystal_system": "cubic",
  "dos_at_fermi_per_ev_cell": 0.81,
  "e_tot_ev_per_cell": -126.311,
  "vol_a3_per_atom": 32.59
}


No. 8
{
  "formula": "SnBBr2",
  "functional": "meta-GGA SCAN",
  "state": "single point on PBEsol structure",
  "lattice_angstrom": [[0.0000, 4.8496, 4.8496], [4.8496, 0.0000, 4.8496], [4.8496, 4.8496, 0.0000]],
  "species": ["Sn", "Sn", "B", "B", "Br", "Br", "Br", "Br"],
  "frac_coords": [[0.1250, 0.1250, 0.1250], [0.8750, 0.8750, 0.8750], [0.3750, 0.3750, 0.3750], [0.6250, 0.6250, 0.6250], [0.0000, 0.5000, 0.5000], [0.5000, 0.0000, 0.5000], [0.5000, 0.5000, 0.0000], [0.5000, 0.5000, 0.5000]],
  "sg": "Fd-3m",
  "crystal_system": "cubic",
  "dos_at_fermi_per_ev_cell": 5.85,
  "e_tot_ev_per_cell": -157.759,
  "vol_a3_per_atom": 28.51
}


No. 9
{
  "formula": "Ta2TiBBr",
  "functional": "meta-GGA SCAN",
  "state": "single point on PBEsol structure",
  "lattice_angstrom": [[4.7566, 0.0000, 0.0000], [0.0000, 4.7566, 0.0000], [0.0000, 0.0000, 3.9256]],
  "species": ["Ta", "Ta", "Ti", "B", "Br"],
  "frac_coords": [[0.0000, 0.5000, 0.0000], [0.5000, 0.0000, 0.0000], [0.0000, 0.0000, 0.5000], [0.5000, 0.5000, 0.5000], [0.5000, 0.5000, 0.0000]],
  "sg": "P4/mmm",
  "crystal_system": "tetragonal",
  "dos_at_fermi_per_ev_cell": 4.32,
  "e_tot_ev_per_cell": -166.832,
  "vol_a3_per_atom": 17.76
}


No. 10
{
  "formula": "Tb3BBr3",
  "functional": "meta-GGA SCAN",
  "state": "single point on PBEsol structure",
  "lattice_angstrom": [[-5.5440, 5.5440, 5.5440], [5.5440, -5.5440, 5.5440], [5.5440, 5.5440, -5.5440]],
  "species": ["Tb", "Tb", "Tb", "Tb", "Tb", "Tb", "Tb", "Tb", "Tb", "Tb", "Tb", "Tb", "B", "B", "B", "B", "Br", "Br", "Br", "Br", "Br", "Br", "Br", "Br", "Br", "Br", "Br", "Br"],
  "frac_coords": [[0.0181, 0.0362, 0.2681], [0.0181, 0.4819, 0.7500], [0.0362, 0.2681, 0.0181], [0.2319, 0.2681, 0.7500], [0.2319, 0.4638, 0.4819], [0.2681, 0.0181, 0.0362], [0.2681, 0.7500, 0.2319], [0.4638, 0.4819, 0.2319], [0.4819, 0.2319, 0.4638], [0.4819, 0.7500, 0.0181], [0.7500, 0.0181, 0.4819], [0.7500, 0.2319, 0.2681], [0.0000, 0.2500, 0.5000], [0.2500, 0.2500, 0.2500], [0.2500, 0.5000, 0.0000], [0.5000, 0.0000, 0.2500], [0.2500, 0.7593, 0.7407], [0.2500, 0.9907, 0.5093], [0.5093, 0.2500, 0.9907], [0.5093, 0.7593, 0.5186], [0.5186, 0.5093, 0.7593], [0.7407, 0.2500, 0.7593], [0.7407, 0.9907, 0.9814], [0.7593, 0.5186, 0.5093], [0.7593, 0.7407, 0.2500], [0.9814, 0.7407, 0.9907], [0.9907, 0.5093, 0.2500], [0.9907, 0.9814, 0.7407]],
  "sg": "I4_132",
  "crystal_system": "cubic",
  "dos_at_fermi_per_ev_cell": 8.13,
  "e_tot_ev_per_cell": -865.001,
  "vol_a3_per_atom": 24.34
}


No. 11
{
  "formula": "Tb4BBr6",
  "functional": "meta-GGA SCAN",
  "state": "single point on PBEsol structure",
  "lattice_angstrom": [[8.9213, -5.5468, 0.0000], [8.9213, 5.5468, 0.0000], [-1.4906, 0.0000, 12.3168]],
  "species": ["Tb", "Tb", "Tb", "Tb", "Tb", "Tb", "Tb", "Tb", "Tb", "Tb", "Tb", "Tb", "Tb", "Tb", "Tb", "Tb", "B", "B", "B", "B", "Br", "Br", "Br", "Br", "Br", "Br", "Br", "Br", "Br", "Br", "Br", "Br", "Br", "Br", "Br", "Br", "Br", "Br", "Br", "Br", "Br", "Br", "Br", "Br"],
  "frac_coords": [[0.0275, 0.7859, 0.1895], [0.0461, 0.2869, 0.5462], [0.0818, 0.8568, 0.9095], [0.1432, 0.9182, 0.5905], [0.2141, 0.9725, 0.3105], [0.2869, 0.0461, 0.0462], [0.3149, 0.6133, 0.3953], [0.3867, 0.6851, 0.1047], [0.6133, 0.3149, 0.8953], [0.6851, 0.3867, 0.6047], [0.7131, 0.9539, 0.9538], [0.7859, 0.0275, 0.6895], [0.8568, 0.0818, 0.4095], [0.9182, 0.1432, 0.0905], [0.9539, 0.7131, 0.4538], [0.9725, 0.2141, 0.8105], [0.0879, 0.8388, 0.3941], [0.1612, 0.9121, 0.1059], [0.8388, 0.0879, 0.8941], [0.9121, 0.1612, 0.6059], [0.0299, 0.7491, 0.6845], [0.0467, 0.3118, 0.0289], [0.1245, 0.3627, 0.7507], [0.1946, 0.4430, 0.4655], [0.2509, 0.9701, 0.8155], [0.2738, 0.5114, 0.1788], [0.3118, 0.0467, 0.5289], [0.3412, 0.5849, 0.8928], [0.3627, 0.1245, 0.2507], [0.4151, 0.6588, 0.6072], [0.4430, 0.1946, 0.9655], [0.4886, 0.7262, 0.3212], [0.5114, 0.2738, 0.6788], [0.5570, 0.8054, 0.0345], [0.5849, 0.3412, 0.3928], [0.6373, 0.8755, 0.7493], [0.6588, 0.4151, 0.1072], [0.6882, 0.9533, 0.4711], [0.7262, 0.4886, 0.8212], [0.7491, 0.0299, 0.1845], [0.8054, 0.5570, 0.5345], [0.8755, 0.6373, 0.2493], [0.9533, 0.6882, 0.9711], [0.9701, 0.2509, 0.3155]],
  "sg": "C2/c",
  "crystal_system": "monoclinic",
  "dos_at_fermi_per_ev_cell": 14.04,
  "e_tot_ev_per_cell": -1319.385,
  "vol_a3_per_atom": 27.70
}


No. 12
{
  "formula": "BTeBr3",
  "functional": "meta-GGA SCAN",
  "state": "single point on PBEsol structure",
  "lattice_angstrom": [[5.5708, 0.0000, 0.0000], [0.0000, 5.5708, 0.0000], [0.0000, 0.0000, 5.5708]],
  "species": ["B", "Te", "Br", "Br", "Br"],
  "frac_coords": [[0.0000, 0.0000, 0.0000], [0.5000, 0.5000, 0.5000], [0.0000, 0.5000, 0.5000], [0.5000, 0.0000, 0.5000], [0.5000, 0.5000, 0.0000]],
  "sg": "Pm-3m",
  "crystal_system": "cubic",
  "dos_at_fermi_per_ev_cell": 3.67,
  "e_tot_ev_per_cell": -98.599,
  "vol_a3_per_atom": 34.58
}